DFT (PBE-GGA) results for a relaxed structure of In2ReHgH.

```
5
Lattice="4.9711 0.0000 0.0000 0.0000 4.9711 0.0000 0.0000 0.0000 3.4819" Properties=species:S:1:pos:R:3 pbc="T T T"
In 0.0000 2.4856 0.0000
In 2.4856 0.0000 0.0000
Re 0.0000 0.0000 1.7409
Hg 2.4856 2.4856 1.7409
H 0.0000 0.0000 0.0000
```

Space group ... P4/mmm
DOS at the Fermi energy ... 0.736 states/eV/atom
ΔE to the lowest computed polymorph ... 0.023 eV/atom
E_tot ... -18.6 eV per cell